w) # Mn2InBr | Alexandria | PBEsol | relaxed
data_Mn2InBr
_cell_length_a 3.262
_cell_length_b 3.262
_cell_length_c 7.381
_cell_angle_alpha 90.00
_cell_angle_beta 90.00
_cell_angle_gamma 90.00
_symmetry_space_group_name_H-M 'P 4 m m'
_symmetry_Int_Tables_number 99
loop_
_symmetry_equiv_pos_as_xyz
'x,y,z'
'-y,x,z'
'-x,-y,z'
'y,-x,z'
'-x,y,z'
'y,x,z'
'x,-y,z'
'-y,-x,z'
loop_
_atom_site_label
_atom_site_type_symbol
_atom_site_fract_x
_atom_site_fract_y
_atom_site_fract_z
Mn1 Mn 0.000 0.000 0.000
Mn2 Mn 0.500 0.500 0.196
In1 In 0.500 0.500 0.801
Br1 Br 0.000 0.000 0.378
# calculated volume = 78.5 Å³/cell
# density of states at the Fermi level = 2.01 states/eV/f.u.

---

x) # Mn2InBr | Alexandria | PBEsol | relaxed
data_Mn2InBr
_cell_length_a 3.144
_cell_length_b 5.483
_cell_length_c 8.775
_cell_angle_alpha 90.00
_cell_angle_beta 90.00
_cell_angle_gamma 90.00
_symmetry_space_group_name_H-M 'I m m m'
_symmetry_Int_Tables_number 71
_symmetry_space_group_name_Hall '-I 2 2'
loop_
_atom_site_label
_atom_site_type_symbol
_atom_site_fract_x
_atom_site_fract_y
_atom_site_fract_z
Mn1 Mn 0.000 0.000 0.241
In1 In 0.000 0.500 0.000
Br1 Br 0.000 0.500 0.500
# calculated volume = 151.3 Å³/cell
# density of states at the Fermi level = 3.16 states/eV/f.u.

---

y) # Mn2InBr | Alexandria | PBEsol | relaxed
data_Mn2InBr
_cell_length_a 4.877
_cell_length_b 4.877
_cell_length_c 3.077
_cell_angle_alpha 90.00
_cell_angle_beta 90.00
_cell_angle_gamma 90.00
_symmetry_space_group_name_H-M 'P 4/m m m'
_symmetry_Int_Tables_number 123
_symmetry_space_group_name_Hall '-P 4 2'
loop_
_atom_site_label
_atom_site_type_symbol
_atom_site_fract_x
_atom_site_fract_y
_atom_site_fract_z
Mn1 Mn 0.000 0.500 0.000
In1 In 0.000 0.000 0.500
Br1 Br 0.500 0.500 0.500
# calculated volume = 73.2 Å³/cell
# density of states at the Fermi level = 3.74 states/eV/f.u.

---

Which of them is least stable? Easy: y).

---

w) # InPBr2 | Alexandria | PBEsol | relaxed
data_InPBr2
_cell_length_a 4.899
_cell_length_b 4.250
_cell_length_c 6.022
_cell_angle_alpha 90.00
_cell_angle_beta 112.23
_cell_angle_gamma 90.00
_symmetry_space_group_name_H-M 'P 1 m 1'
_symmetry_Int_Tables_number 6
loop_
_symmetry_equiv_pos_as_xyz
'x,y,z'
'x,-y,z'
loop_
_atom_site_label
_atom_site_type_symbol
_atom_site_fract_x
_atom_site_fract_y
_atom_site_fract_z
In1 In 0.000 0.000 0.000
P1 P 0.888 0.500 0.752
Br1 Br 0.306 0.500 0.659
Br2 Br 0.619 0.000 0.238
# calculated volume = 116.1 Å³/cell

---

x) # InPBr2 | Alexandria | PBEsol | relaxed
data_InPBr2
_cell_length_a 5.096
_cell_length_b 5.096
_cell_length_c 3.568
_cell_angle_alpha 90.00
_cell_angle_beta 90.00
_cell_angle_gamma 90.00
_symmetry_space_group_name_H-M 'P 4/m m m'
_symmetry_Int_Tables_number 123
_symmetry_space_group_name_Hall '-P 4 2'
loop_
_atom_site_label
_atom_site_type_symbol
_atom_site_fract_x
_atom_site_fract_y
_atom_site_fract_z
In1 In 0.000 0.000 0.000
P1 P 0.500 0.500 0.000
Br1 Br 0.000 0.500 0.500
# calculated volume = 92.7 Å³/cell
# density of states at the Fermi level = 2.71 states/eV/f.u.

---

Which of them is least stable? Easy: x).

---

w) # In2PBr | Alexandria | PBEsol | relaxed
data_In2PBr
_cell_length_a 7.115
_cell_length_b 7.115
_cell_length_c 7.115
_cell_angle_alpha 90.00
_cell_angle_beta 90.00
_cell_angle_gamma 90.00
_symmetry_space_group_name_H-M 'F m -3 m'
_symmetry_Int_Tables_number 225
_symmetry_space_group_name_Hall '-F 4 2 3'
loop_
_atom_site_label
_atom_site_type_symbol
_atom_site_fract_x
_atom_site_fract_y
_atom_site_fract_z
In1 In 0.250 0.250 0.250
P1 P 0.000 0.000 0.000
Br1 Br 0.000 0.000 0.500
# calculated volume = 360.1 Å³/cell
# density of states at the Fermi level = 1.18 states/eV/f.u.

---

x) # In2PBr | Alexandria | PBEsol | relaxed
data_In2PBr
_cell_length_a 3.680
_cell_length_b 3.680
_cell_length_c 8.209
_cell_angle_alpha 90.00
_cell_angle_beta 90.00
_cell_angle_gamma 90.00
_symmetry_space_group_name_H-M 'P 4 m m'
_symmetry_Int_Tables_number 99
loop_
_symmetry_equiv_pos_as_xyz
'x,y,z'
'-y,x,z'
'-x,-y,z'
'y,-x,z'
'-x,y,z'
'y,x,z'
'x,-y,z'
'-y,-x,z'
loop_
_atom_site_label
_atom_site_type_symbol
_atom_site_fract_x
_atom_site_fract_y
_atom_site_fract_z
In1 In 0.000 0.000 0.000
In2 In 0.500 0.500 0.444
P1 P 0.000 0.000 0.375
Br1 Br 0.500 0.500 0.783
# calculated volume = 111.2 Å³/cell
# density of states at the Fermi level = 2.18 states/eV/f.u.

---

Which of them is least stable? Easy: w).

---

w) # InPb2Br | Alexandria | PBEsol | relaxed
data_InPb2Br
_cell_length_a 3.553
_cell_length_b 3.553
_cell_length_c 8.985
_cell_angle_alpha 90.00
_cell_angle_beta 90.00
_cell_angle_gamma 90.00
_symmetry_space_group_name_H-M 'P 4 m m'
_symmetry_Int_Tables_number 99
loop_
_symmetry_equiv_pos_as_xyz
'x,y,z'
'-y,x,z'
'-x,-y,z'
'y,-x,z'
'-x,y,z'
'y,x,z'
'x,-y,z'
'-y,-x,z'
loop_
_atom_site_label
_atom_site_type_symbol
_atom_site_fract_x
_atom_site_fract_y
_atom_site_fract_z
In1 In 0.000 0.000 0.000
Pb1 Pb 0.000 0.000 0.515
Pb2 Pb 0.500 0.500 0.260
Br1 Br 0.500 0.500 0.787
# calculated volume = 113.4 Å³/cell
# density of states at the Fermi level = 1.40 states/eV/f.u.

---

x) # InPb2Br | Alexandria | PBEsol | relaxed
data_InPb2Br
_cell_length_a 3.472
_cell_length_b 4.639
_cell_length_c 6.927
_cell_angle_alpha 90.00
_cell_angle_beta 90.00
_cell_angle_gamma 90.00
_symmetry_space_group_name_H-M 'P m m m'
_symmetry_Int_Tables_number 47
loop_
_symmetry_equiv_pos_as_xyz
'x,y,z'
'-x,-y,-z'
'-x,-y,z'
'x,y,-z'
'x,-y,-z'
'-x,y,z'
'-x,y,-z'
'x,-y,z'
loop_
_atom_site_label
_atom_site_type_symbol
_atom_site_fract_x
_atom_site_fract_y
_atom_site_fract_z
In1 In 0.000 0.000 0.000
Pb1 Pb 0.500 0.500 0.249
Br1 Br 0.000 0.000 0.500
# calculated volume = 111.6 Å³/cell
# density of states at the Fermi level = 2.06 states/eV/f.u.

---

y) # InPb2Br | Alexandria | PBEsol | relaxed
data_InPb2Br
_cell_length_a 5.633
_cell_length_b 5.633
_cell_length_c 3.493
_cell_angle_alpha 90.00
_cell_angle_beta 90.00
_cell_angle_gamma 90.00
_symmetry_space_group_name_H-M 'P 4/m m m'
_symmetry_Int_Tables_number 123
_symmetry_space_group_name_Hall '-P 4 2'
loop_
_atom_site_label
_atom_site_type_symbol
_atom_site_fract_x
_atom_site_fract_y
_atom_site_fract_z
In1 In 0.000 0.000 0.000
Pb1 Pb 0.000 0.500 0.500
Br1 Br 0.500 0.500 0.000
# calculated volume = 110.8 Å³/cell
# density of states at the Fermi level = 2.00 states/eV/f.u.

---

Which of them is least stable? Easy: x).